No. 1
VASP calculation (PBE) on a relaxed structure of NbI.

The electronic total energy comes out at -37.11 eV per cell. The total magnetization is 10.1 Bohr magnetons per cell. Its crystal system is cubic.

Lattice parameters (Å, degrees): 5.897 5.897 5.897 90.00 90.00 90.00
Space group Fm-3m (No. 225)
Unique sites:
Nb (0.000, 0.000, 0.000) x4
I (0.000, 0.000, 0.500) x4

=====

No. 2
VASP calculation (PBE) on a relaxed structure of DyGa2O4.

The electronic total energy comes out at -358.69 eV per cell. The total magnetization is 0.1 Bohr magnetons per cell. Its crystal system is cubic.

Lattice parameters (Å, degrees): 8.925 8.925 8.925 90.00 90.00 90.00
Space group Fd-3m (No. 227, origin choice 2)
Unique sites:
Dy (0.125, 0.125, 0.125) x8
Ga (0.000, 0.000, 0.500) x16
O (0.015, 0.015, 0.735) x32

=====

No. 3
VASP calculation (PBE) on a relaxed structure of DyNbCSe.

Its energy above the lowest structure with this stoichiometry is 4 meV per atom. The electronic total energy comes out at -61.65 eV per cell. The total magnetization is 0.0 Bohr magnetons per cell. Its crystal system is trigonal.

Lattice parameters (Å, degrees): 3.5472 3.5472 12.6884 90.00 90.00 120.00
Space group P-3m1 (No. 164)
Unique sites:
Dy (0.3333, 0.6667, 0.1066) x2
Nb (0.3333, 0.6667, 0.4197) x2
C (0.0000, 0.0000, 0.0000) x1
C (0.0000, 0.0000, 0.5000) x1
Se (0.3333, 0.6667, 0.7256) x2

=====

No. 4
VASP calculation (PBE) on a relaxed structure of KAsAuO.

Its energy above the lowest structure with this stoichiometry is 51 meV per atom. The electronic total energy comes out at -30.09 eV per cell. Its crystal system is orthorhombic.

Lattice parameters (Å, degrees): 3.935 8.470 5.279 90.00 90.00 90.00
Space group Pmc2_1 (No. 26)
Unique sites:
K (0.000, 0.173, 0.000) x2
As (0.500, 0.495, 0.278) x2
Au (0.500, 0.213, 0.497) x2
O (0.000, 0.136, 0.502) x2

=====

No. 5
VASP calculation (PBE) on a relaxed structure of Nd2Sm2CI3Cl2.

Its energy above the lowest structure with this stoichiometry is 11 meV per atom. The electronic total energy comes out at -99.89 eV per cell. The total magnetization is 0.5 Bohr magnetons per cell. Its crystal system is monoclinic.

Lattice parameters (Å, degrees): 17.953 4.028 8.864 90.00 102.63 90.00
Space group C2/m (No. 12)
Unique sites:
Nd (0.004, 0.000, 0.307) x4
Sm (0.142, 0.500, 0.568) x4
C (0.000, 0.500, 0.500) x2
I (0.000, 0.500, 0.000) x2
I (0.174, 0.000, 0.840) x4
Cl (0.172, 0.000, 0.363) x4

=====

No. 6
VASP calculation (PBE) on a relaxed structure of DyHfIn.

Its energy above the lowest structure with this stoichiometry is 0 meV per atom. The electronic total energy comes out at -66.12 eV per cell. The total magnetization is 0.2 Bohr magnetons per cell. Its crystal system is cubic.

Lattice parameters (Å, degrees): 6.995 6.995 6.995 90.00 90.00 90.00
Space group F-43m (No. 216)
Unique sites:
Dy (0.000, 0.000, 0.000) x4
Hf (0.000, 0.000, 0.500) x4
In (0.250, 0.250, 0.250) x4

=====

- Which of these has the lowest electronic total energy?
  DyGa2O4

=====

Repeat the fourth record exactly.
VASP calculation (PBE) on a relaxed structure of KAsAuO.

Its energy above the lowest structure with this stoichiometry is 51 meV per atom. The electronic total energy comes out at -30.09 eV per cell. Its crystal system is orthorhombic.

Lattice parameters (Å, degrees): 3.935 8.470 5.279 90.00 90.00 90.00
Space group Pmc2_1 (No. 26)
Unique sites:
K (0.000, 0.173, 0.000) x2
As (0.500, 0.495, 0.278) x2
Au (0.500, 0.213, 0.497) x2
O (0.000, 0.136, 0.502) x2